Entry 1:
# Sc2ReIr, optimized geometry, DFT PBE
# Fermi-level density of states = 5.2 states/eV/f.u.
# M_tot = 2.063 μB per cell
# Crystal system = trigonal
# E_tot = -8.3900 eV per atom
data_Sc2ReIr
_symmetry_space_group_name_H-M 'R 3 m'
_symmetry_Int_Tables_number 160
_symmetry_space_group_name_Hall 'R 3 -2"'
_cell_length_a 2.9364
_cell_length_b 2.9364
_cell_length_c 28.7220
_cell_angle_alpha 90.00
_cell_angle_beta 90.00
_cell_angle_gamma 120.00
loop_
_atom_site_label
_atom_site_type_symbol
_atom_site_fract_x
_atom_site_fract_y
_atom_site_fract_z
Sc1 Sc 0.0000 0.0000 0.0000
Sc2 Sc 0.0000 0.0000 0.2347
Re1 Re 0.0000 0.0000 0.7486
Ir1 Ir 0.0000 0.0000 0.4881

=====

Entry 2:
# Sc2ReIr, optimized geometry, DFT PBE
# Fermi-level density of states = 3.5 states/eV/f.u.
# M_tot = 0.000 μB per cell
# Crystal system = orthorhombic
# E_tot = -8.6514 eV per atom
data_Sc2ReIr
_symmetry_space_group_name_H-M 'P m m 2'
_symmetry_Int_Tables_number 25
_cell_length_a 2.8990
_cell_length_b 4.3874
_cell_length_c 5.4680
_cell_angle_alpha 90.00
_cell_angle_beta 90.00
_cell_angle_gamma 90.00
loop_
_symmetry_equiv_pos_as_xyz
'x,y,z'
'-x,-y,z'
'-x,y,z'
'x,-y,z'
loop_
_atom_site_label
_atom_site_type_symbol
_atom_site_fract_x
_atom_site_fract_y
_atom_site_fract_z
Sc1 Sc 0.0000 0.0000 0.0000
Sc2 Sc 0.5000 0.5000 0.3089
Re1 Re 0.5000 0.5000 0.7950
Ir1 Ir 0.0000 0.0000 0.5127

=====

Entry 3:
# Sc2ReIr, optimized geometry, DFT PBE
# Fermi-level density of states = 5.7 states/eV/f.u.
# M_tot = 0.001 μB per cell
# Crystal system = trigonal
# E_tot = -8.6266 eV per atom
data_Sc2ReIr
_symmetry_space_group_name_H-M 'R -3 m'
_symmetry_Int_Tables_number 166
_symmetry_space_group_name_Hall '-R 3 2"'
_cell_length_a 3.0300
_cell_length_b 3.0300
_cell_length_c 26.0418
_cell_angle_alpha 90.00
_cell_angle_beta 90.00
_cell_angle_gamma 120.00
loop_
_atom_site_label
_atom_site_type_symbol
_atom_site_fract_x
_atom_site_fract_y
_atom_site_fract_z
Sc1 Sc 0.0000 0.0000 0.2489
Re1 Re 0.0000 0.0000 0.0000
Ir1 Ir 0.0000 0.0000 0.5000

=====

Entry 4:
# Sc2ReIr, optimized geometry, DFT PBE
# Fermi-level density of states = 4.6 states/eV/f.u.
# M_tot = 0.000 μB per cell
# Crystal system = tetragonal
# E_tot = -8.5012 eV per atom
data_Sc2ReIr
_symmetry_space_group_name_H-M 'P 4 m m'
_symmetry_Int_Tables_number 99
_cell_length_a 3.4579
_cell_length_b 3.4579
_cell_length_c 6.0015
_cell_angle_alpha 90.00
_cell_angle_beta 90.00
_cell_angle_gamma 90.00
loop_
_symmetry_equiv_pos_as_xyz
'x,y,z'
'-y,x,z'
'-x,-y,z'
'y,-x,z'
'-x,y,z'
'y,x,z'
'x,-y,z'
'-y,-x,z'
loop_
_atom_site_label
_atom_site_type_symbol
_atom_site_fract_x
_atom_site_fract_y
_atom_site_fract_z
Sc1 Sc 0.0000 0.0000 0.0000
Sc2 Sc 0.5000 0.5000 0.3230
Re1 Re 0.5000 0.5000 0.7878
Ir1 Ir 0.0000 0.0000 0.5264

=====

Entry 5:
# Sc2ReIr, optimized geometry, DFT PBE
# Fermi-level density of states = 2.0 states/eV/f.u.
# M_tot = 0.000 μB per cell
# Crystal system = monoclinic
# E_tot = -8.8866 eV per atom
data_Sc2ReIr
_symmetry_space_group_name_H-M 'C 1 m 1'
_symmetry_Int_Tables_number 8
_cell_length_a 10.6019
_cell_length_b 3.1918
_cell_length_c 4.5011
_cell_angle_alpha 90.00
_cell_angle_beta 115.11
_cell_angle_gamma 90.00
loop_
_symmetry_equiv_pos_as_xyz
'x,y,z'
'x,-y,z'
'x+1/2,y+1/2,z'
'x+1/2,-y+1/2,z'
loop_
_atom_site_label
_atom_site_type_symbol
_atom_site_fract_x
_atom_site_fract_y
_atom_site_fract_z
Sc1 Sc 0.0000 0.0000 0.0000
Sc2 Sc 0.2288 0.0000 0.7295
Re1 Re 0.4771 0.0000 0.4768
Ir1 Ir 0.2507 0.5000 0.2518

=====

Entry 6:
# Sc2ReIr, optimized geometry, DFT PBE
# Fermi-level density of states = 3.6 states/eV/f.u.
# M_tot = 0.000 μB per cell
# Crystal system = monoclinic
# E_tot = -8.7314 eV per atom
data_Sc2ReIr
_symmetry_space_group_name_H-M 'P 1 m 1'
_symmetry_Int_Tables_number 6
_cell_length_a 2.8759
_cell_length_b 4.5867
_cell_length_c 5.3108
_cell_angle_alpha 90.00
_cell_angle_beta 102.80
_cell_angle_gamma 90.00
loop_
_symmetry_equiv_pos_as_xyz
'x,y,z'
'x,-y,z'
loop_
_atom_site_label
_atom_site_type_symbol
_atom_site_fract_x
_atom_site_fract_y
_atom_site_fract_z
Sc1 Sc 0.0000 0.0000 0.0000
Sc2 Sc 0.2492 0.5000 0.7213
Re1 Re 0.5229 0.0000 0.4867
Ir1 Ir 0.7247 0.5000 0.2315

=====

Entry 7:
# Sc2ReIr, optimized geometry, DFT PBE
# Fermi-level density of states = 4.3 states/eV/f.u.
# M_tot = 0.000 μB per cell
# Crystal system = tetragonal
# E_tot = -8.9227 eV per atom
data_Sc2ReIr
_symmetry_space_group_name_H-M 'P 4/m m m'
_symmetry_Int_Tables_number 123
_symmetry_space_group_name_Hall '-P 4 2'
_cell_length_a 3.2123
_cell_length_b 3.2123
_cell_length_c 6.6024
_cell_angle_alpha 90.00
_cell_angle_beta 90.00
_cell_angle_gamma 90.00
loop_
_atom_site_label
_atom_site_type_symbol
_atom_site_fract_x
_atom_site_fract_y
_atom_site_fract_z
Sc1 Sc 0.0000 0.0000 0.2504
Re1 Re 0.5000 0.5000 0.0000
Ir1 Ir 0.5000 0.5000 0.5000

=====

Entry 8:
# ScTaReIr, optimized geometry, DFT PBE
# Fermi-level density of states = 0.9 states/eV/f.u.
# M_tot = 0.000 μB per cell
# Crystal system = cubic
# E_tot = -10.4443 eV per atom
data_ScTaReIr
_symmetry_space_group_name_H-M 'F -4 3 m'
_symmetry_Int_Tables_number 216
_symmetry_space_group_name_Hall 'F -4 2 3'
_cell_length_a 6.4147
_cell_length_b 6.4147
_cell_length_c 6.4147
_cell_angle_alpha 90.00
_cell_angle_beta 90.00
_cell_angle_gamma 90.00
loop_
_atom_site_label
_atom_site_type_symbol
_atom_site_fract_x
_atom_site_fract_y
_atom_site_fract_z
Sc1 Sc 0.0000 0.0000 0.0000
Ta1 Ta 0.0000 0.0000 0.5000
Re1 Re 0.2500 0.2500 0.2500
Ir1 Ir 0.2500 0.2500 0.7500